1.
A plane-wave DFT calculation with GGA-PBE was carried out for crystalline Ac12TbPm7 at its relaxed geometry.

Lattice parameters (Å, degrees): 12.2243 12.2243 12.2243 116.76 116.76 116.76
Positions (direct):
Ac 0.9997 0.4124 0.5877
Ac 0.0003 0.5876 0.4123
Ac 0.0684 0.0678 0.4140
Ac 0.0678 0.4140 0.0684
Ac 0.4123 0.0003 0.5876
Ac 0.4124 0.5877 0.9997
Ac 0.4140 0.0684 0.0678
Ac 0.5860 0.9316 0.9322
Ac 0.5877 0.9997 0.4124
Ac 0.5876 0.4123 0.0003
Ac 0.9322 0.5860 0.9316
Ac 0.9316 0.9322 0.5860
Tb 0.5000 0.5000 0.5000
Pm 0.0000 0.0000 0.0000
Pm 0.1496 0.3921 0.3927
Pm 0.3921 0.3927 0.1496
Pm 0.3927 0.1496 0.3921
Pm 0.6073 0.8504 0.6079
Pm 0.6079 0.6073 0.8504
Pm 0.8504 0.6079 0.6073

Calculated values
For the formation energy, the calculation gives 0.19 eV per atom.

2.
A plane-wave DFT calculation with GGA-PBE was carried out for crystalline Rb2CdBi2 at its relaxed geometry.

Lattice parameters (Å, degrees): 5.6620 8.2860 8.2860 33.26 90.00 90.00
Positions (direct):
Rb 0.0000 0.0000 0.0000
Rb 0.0000 0.2379 0.2379
Cd 0.5000 0.4275 0.4275
Bi 0.5000 0.6163 0.6163
Bi 0.5000 0.8185 0.8185

Calculated values
For the formation energy, the calculation gives -0.19 eV per atom.

Record-wise spin magnetization values, in Bohr magnetons per cell: 0.000 0.000